1.
La4Sc | the Alexandria database | meta-GGA SCAN | PBEsol geometry; formation energy = 0.18 eV per formula unit; calculated density = 6353 kg/m3
1.0
-1.106 -2.414 -4.211
3.036 -5.293 -0.706
-4.687 -3.932 0.543
Sc La
1 4
Direct
0.000 0.000 0.000
0.398 0.397 0.808
0.602 0.603 0.192
0.794 0.808 0.603
0.206 0.192 0.397

=====

2.
BeRu | the Alexandria database | meta-GGA SCAN | PBEsol geometry; formation energy = -0.62 eV per formula unit; calculated density = 8636 kg/m3
1.0
-2.362 -0.031 1.405
1.398 -0.331 2.343
0.291 5.563 0.611
Ru Be
2 2
Direct
0.500 0.000 0.650
0.000 0.500 0.350
0.500 0.000 0.094
0.000 0.500 0.906

=====

3.
MnRe2Sb | the Alexandria database | meta-GGA SCAN | PBEsol geometry; formation energy (no corrections) = 0.55 eV per atom; calculated density = 15410 kg/m3
1.0
-3.403 1.030 2.548
-0.229 -1.560 4.080
0.552 2.690 3.404
Mn Re Sb
1 2 1
Direct
0.500 0.500 0.500
0.000 0.000 0.000
0.750 0.750 0.750
0.250 0.250 0.250

=====

4.
MgW2Br | the Alexandria database | meta-GGA SCAN | PBEsol geometry; formation energy (no corrections) = 1.21 eV per atom; calculated density = 11206 kg/m3; energy above the lowest structure with this stoichiometry = 398 meV per atom
1.0
2.862 0.000 0.000
0.000 4.627 0.000
0.000 0.000 5.280
Br Mg W
1 1 2
Direct
0.500 0.500 0.000
0.500 0.500 0.500
0.000 0.000 0.735
0.000 0.000 0.265

=====

5.
Na4Al3Si3CNO13 | the Alexandria database | meta-GGA SCAN | PBEsol geometry; formation energy (no corrections) = -2.70 eV per atom; calculated density = 2241 kg/m3
1.0
-1.761 7.874 3.747
-2.376 -4.121 7.518
8.674 0.504 3.018
Na Al Si C N O
8 6 6 2 2 26
Direct
0.691 0.810 0.797
0.309 0.190 0.797
0.815 0.315 0.700
0.185 0.685 0.700
0.810 0.691 0.297
0.190 0.309 0.297
0.685 0.185 0.200
0.315 0.815 0.200
0.001 0.752 0.001
0.500 0.500 0.752
0.248 0.999 0.501
0.752 0.001 0.501
0.500 0.500 0.252
0.999 0.248 0.001
0.748 0.499 0.002
0.000 0.000 0.752
0.501 0.252 0.502
0.499 0.748 0.502
0.000 0.000 0.252
0.252 0.501 0.002
0.500 0.000 0.992
0.000 0.500 0.492
0.000 0.500 0.622
0.500 0.000 0.122
0.843 0.354 0.947
0.157 0.646 0.947
0.648 0.559 0.863
0.352 0.441 0.863
0.500 0.000 0.859
0.942 0.860 0.852
0.058 0.140 0.852
0.859 0.057 0.652
0.141 0.943 0.652
0.557 0.351 0.642
0.443 0.649 0.642
0.642 0.849 0.556
0.358 0.151 0.556
0.646 0.157 0.447
0.354 0.843 0.447
0.559 0.648 0.363
0.441 0.352 0.363
0.000 0.500 0.359
0.860 0.942 0.352
0.140 0.058 0.352
0.057 0.859 0.152
0.943 0.141 0.152
0.649 0.443 0.142
0.351 0.557 0.142
0.849 0.642 0.056
0.151 0.358 0.056

=====

6.
TcN2F2 | the Alexandria database | meta-GGA SCAN | PBEsol geometry; formation energy (no corrections) = 1.65 eV per atom; calculated density = 5628 kg/m3
1.0
3.481 0.000 0.000
0.000 3.481 0.000
0.000 0.000 3.993
N Tc F
2 1 2
Direct
0.000 0.500 0.000
0.500 0.000 0.000
0.500 0.500 0.500
0.000 0.000 0.000
0.000 0.000 0.500

=====

| no. | volume (Å³/cell) |
| --- | --- |
| 1 | 156.99 |
| 2 | 42.34 |
| 3 | 59.17 |
| 4 | 69.93 |
| 5 | 727.97 |
| 6 | 48.39 |